[1]
# Zr2CoAu GGA-PBEsol relaxed
data_Zr2CoAu
_symmetry_space_group_name_H-M 'F -4 3 m'
_symmetry_Int_Tables_number 216
_symmetry_space_group_name_Hall 'F -4 2 3'
_cell_length_a 6.396
_cell_length_b 6.396
_cell_length_c 6.396
_cell_angle_alpha 90.00
_cell_angle_beta 90.00
_cell_angle_gamma 90.00
loop_
_atom_site_label
_atom_site_type_symbol
_atom_site_fract_x
_atom_site_fract_y
_atom_site_fract_z
Zr1 Zr 0.000 0.000 0.000
Zr2 Zr 0.250 0.250 0.250
Co1 Co 0.250 0.250 0.750
Au1 Au 0.000 0.000 0.500
# - E_form: -4.87 kcal/mol of atoms
# - Calculated volume: 16.4 Å³/atom
# - Energy above the lowest structure with this stoichiometry: 215 meV/atom
# - D(E_F): 0.104 states/eV/atom
# - Theoretical density: 11.13 Mg/m³

[2]
# ZrCu GGA-PBEsol relaxed
data_ZrCu
_symmetry_space_group_name_H-M 'C 1 m 1'
_symmetry_Int_Tables_number 8
_cell_length_a 6.395
_cell_length_b 8.148
_cell_length_c 5.388
_cell_angle_alpha 90.00
_cell_angle_beta 106.28
_cell_angle_gamma 90.00
loop_
_symmetry_equiv_pos_as_xyz
'x,y,z'
'x,-y,z'
'x+1/2,y+1/2,z'
'x+1/2,-y+1/2,z'
loop_
_atom_site_label
_atom_site_type_symbol
_atom_site_fract_x
_atom_site_fract_y
_atom_site_fract_z
Zr1 Zr 0.000 0.000 0.000
Zr2 Zr 0.002 0.500 0.980
Zr3 Zr 0.354 0.224 0.384
Cu1 Cu 0.102 0.000 0.544
Cu2 Cu 0.183 0.500 0.535
Cu3 Cu 0.211 0.250 0.825
# - E_form: -3.25 kcal/mol of atoms
# - Calculated volume: 16.8 Å³/atom
# - D(E_F): 1.034 states/eV/atom
# - Theoretical density: 7.63 Mg/m³

[3]
# KCu2Re GGA-PBEsol relaxed
data_KCu2Re
_symmetry_space_group_name_H-M 'C m m m'
_symmetry_Int_Tables_number 65
_symmetry_space_group_name_Hall '-C 2 2'
_cell_length_a 7.046
_cell_length_b 7.057
_cell_length_c 2.519
_cell_angle_alpha 90.00
_cell_angle_beta 90.00
_cell_angle_gamma 90.00
loop_
_atom_site_label
_atom_site_type_symbol
_atom_site_fract_x
_atom_site_fract_y
_atom_site_fract_z
K1 K 0.000 0.000 0.000
Cu1 Cu 0.250 0.250 0.500
Re1 Re 0.000 0.500 0.000
# - E_form: 19.86 kcal/mol of atoms
# - Calculated volume: 15.7 Å³/atom
# - Energy above the lowest structure with this stoichiometry: 82 meV/atom
# - D(E_F): 0.670 states/eV/atom
# - Theoretical density: 9.34 Mg/m³

[4]
# Co2Tc GGA-PBEsol relaxed
data_Co2Tc
_symmetry_space_group_name_H-M 'C 1 2/m 1'
_symmetry_Int_Tables_number 12
_cell_length_a 9.163
_cell_length_b 2.564
_cell_length_c 5.974
_cell_angle_alpha 90.00
_cell_angle_beta 104.72
_cell_angle_gamma 90.00
loop_
_symmetry_equiv_pos_as_xyz
'x,y,z'
'-x,-y,-z'
'-x,y,-z'
'x,-y,z'
'x+1/2,y+1/2,z'
'-x+1/2,-y+1/2,-z'
'-x+1/2,y+1/2,-z'
'x+1/2,-y+1/2,z'
loop_
_atom_site_label
_atom_site_type_symbol
_atom_site_fract_x
_atom_site_fract_y
_atom_site_fract_z
Co1 Co 0.145 0.000 0.029
Co2 Co 0.198 0.000 0.638
Tc1 Tc 0.025 0.500 0.300
# - E_form: 0.29 kcal/mol of atoms
# - Calculated volume: 11.3 Å³/atom
# - Energy above the lowest structure with this stoichiometry: 66 meV/atom
# - D(E_F): 1.176 states/eV/atom
# - Theoretical density: 10.56 Mg/m³

[5]
# KBeZn2 GGA-PBEsol relaxed
data_KBeZn2
_symmetry_space_group_name_H-M 'P 4 m m'
_symmetry_Int_Tables_number 99
_cell_length_a 3.064
_cell_length_b 3.064
_cell_length_c 7.930
_cell_angle_alpha 90.00
_cell_angle_beta 90.00
_cell_angle_gamma 90.00
loop_
_symmetry_equiv_pos_as_xyz
'x,y,z'
'-y,x,z'
'-x,-y,z'
'y,-x,z'
'-x,y,z'
'y,x,z'
'x,-y,z'
'-y,-x,z'
loop_
_atom_site_label
_atom_site_type_symbol
_atom_site_fract_x
_atom_site_fract_y
_atom_site_fract_z
K1 K 0.000 0.000 0.000
Be1 Be 0.500 0.500 0.660
Zn1 Zn 0.000 0.000 0.549
Zn2 Zn 0.500 0.500 0.330
# - E_form: 9.88 kcal/mol of atoms
# - Calculated volume: 18.6 Å³/atom
# - D(E_F): 0.349 states/eV/atom
# - Theoretical density: 3.99 Mg/m³

[6]
# Sm2Ga2Fe15C3 GGA-PBEsol relaxed
data_Sm2Ga2Fe15C3
_symmetry_space_group_name_H-M 'R -3 m'
_symmetry_Int_Tables_number 166
_symmetry_space_group_name_Hall '-R 3 2"'
_cell_length_a 8.5790
_cell_length_b 8.5790
_cell_length_c 12.3677
_cell_angle_alpha 90.00
_cell_angle_beta 90.00
_cell_angle_gamma 120.00
loop_
_atom_site_label
_atom_site_type_symbol
_atom_site_fract_x
_atom_site_fract_y
_atom_site_fract_z
Sm1 Sm 0.0000 0.0000 0.1499
Ga1 Ga 0.0000 0.0000 0.3966
Fe1 Fe 0.0000 0.2836 0.5000
Fe2 Fe 0.0000 0.5000 0.0000
Fe3 Fe 0.0061 0.5031 0.3475
C1 C 0.0000 0.5000 0.5000
# - E_form: -2.80 kcal/mol of atoms
# - Calculated volume: 11.9 Å³/atom
# - D(E_F): 0.782 states/eV/atom
# - Theoretical density: 8.30 Mg/m³